No. 1
# Cr7P6, relaxed, DFT PBE-GGA
data_Cr7P6
_chemical_formula_sum 'Cr7 P6'
_symmetry_space_group_name_H-M 'P 1'
_symmetry_Int_Tables_number 1
_cell_length_a 8.922
_cell_length_b 8.922
_cell_length_c 8.922
_cell_angle_alpha 31.79
_cell_angle_beta 31.79
_cell_angle_gamma 31.79
loop_
_symmetry_equiv_pos_as_xyz
'x,y,z'
loop_
_atom_site_label
_atom_site_type_symbol
_atom_site_fract_x
_atom_site_fract_y
_atom_site_fract_z
Cr1 Cr 0.430 0.921 0.430
Cr2 Cr 0.079 0.570 0.570
Cr3 Cr 0.570 0.079 0.570
Cr4 Cr 0.570 0.570 0.079
Cr5 Cr 0.500 0.500 0.500
Cr6 Cr 0.430 0.430 0.921
Cr7 Cr 0.921 0.430 0.430
P1 P 0.188 0.188 0.188
P2 P 0.051 0.051 0.051
P3 P 0.667 0.667 0.667
P4 P 0.812 0.812 0.812
P5 P 0.949 0.949 0.949
P6 P 0.333 0.333 0.333
# **Formation energy**: -64 meV per atom
# **Theoretical density**: 5.22 g/cm3

***

No. 2
# Cr5P3, relaxed, DFT PBE-GGA
data_Cr5P3
_chemical_formula_sum 'Cr5 P3'
_symmetry_space_group_name_H-M 'P 1'
_symmetry_Int_Tables_number 1
_cell_length_a 4.869
_cell_length_b 4.869
_cell_length_c 3.961
_cell_angle_alpha 90.00
_cell_angle_beta 90.00
_cell_angle_gamma 100.79
loop_
_symmetry_equiv_pos_as_xyz
'x,y,z'
loop_
_atom_site_label
_atom_site_type_symbol
_atom_site_fract_x
_atom_site_fract_y
_atom_site_fract_z
P1 P 0.794 0.206 0.500
P2 P 0.500 0.500 0.000
P3 P 0.206 0.794 0.500
Cr1 Cr 0.000 0.500 0.000
Cr2 Cr 0.500 0.000 0.000
Cr3 Cr 0.000 0.000 0.000
Cr4 Cr 0.695 0.695 0.500
Cr5 Cr 0.305 0.305 0.500
# **Formation energy**: -228 meV per atom
# **Theoretical density**: 6.35 g/cm3

***

No. 3
# Cr2P, relaxed, DFT PBE-GGA
data_Cr2P
_chemical_formula_sum 'Cr2 P1'
_symmetry_space_group_name_H-M 'P 1'
_symmetry_Int_Tables_number 1
_cell_length_a 3.873
_cell_length_b 3.873
_cell_length_c 2.636
_cell_angle_alpha 90.00
_cell_angle_beta 90.00
_cell_angle_gamma 120.00
loop_
_symmetry_equiv_pos_as_xyz
'x,y,z'
loop_
_atom_site_label
_atom_site_type_symbol
_atom_site_fract_x
_atom_site_fract_y
_atom_site_fract_z
Cr1 Cr 0.000 0.000 0.020
Cr2 Cr 0.333 0.667 0.646
P1 P 0.667 0.333 0.333
# **Formation energy**: -52 meV per atom
# **Theoretical density**: 6.54 g/cm3

***

No. 4
# Cr5P3, relaxed, DFT PBE-GGA
data_Cr5P3
_chemical_formula_sum 'Cr10 P6'
_symmetry_space_group_name_H-M 'P 1'
_symmetry_Int_Tables_number 1
_cell_length_a 6.677
_cell_length_b 6.677
_cell_length_c 6.674
_cell_angle_alpha 96.94
_cell_angle_beta 96.94
_cell_angle_gamma 139.31
loop_
_symmetry_equiv_pos_as_xyz
'x,y,z'
loop_
_atom_site_label
_atom_site_type_symbol
_atom_site_fract_x
_atom_site_fract_y
_atom_site_fract_z
P1 P 0.836 0.336 0.173
P2 P 0.750 0.750 0.000
P3 P 0.163 0.663 0.827
P4 P 0.250 0.250 0.000
P5 P 0.336 0.163 0.500
P6 P 0.663 0.836 0.500
Cr1 Cr 0.078 0.217 0.296
Cr2 Cr 0.282 0.422 0.704
Cr3 Cr 0.217 0.922 0.139
Cr4 Cr 0.717 0.578 0.296
Cr5 Cr 0.421 0.718 0.139
Cr6 Cr 0.250 0.750 0.500
Cr7 Cr 0.922 0.783 0.704
Cr8 Cr 0.749 0.250 0.500
Cr9 Cr 0.782 0.078 0.861
Cr10 Cr 0.578 0.283 0.861
# **Formation energy**: -432 meV per atom
# **Theoretical density**: 6.44 g/cm3

***

No. 5
# Cr2P, relaxed, DFT PBE-GGA
data_Cr2P
_chemical_formula_sum 'Cr4 P2'
_symmetry_space_group_name_H-M 'P 1'
_symmetry_Int_Tables_number 1
_cell_length_a 4.481
_cell_length_b 4.481
_cell_length_c 4.481
_cell_angle_alpha 105.82
_cell_angle_beta 105.82
_cell_angle_gamma 117.06
loop_
_symmetry_equiv_pos_as_xyz
'x,y,z'
loop_
_atom_site_label
_atom_site_type_symbol
_atom_site_fract_x
_atom_site_fract_y
_atom_site_fract_z
P1 P 0.250 0.250 0.000
P2 P 0.750 0.750 0.000
Cr1 Cr 0.655 0.845 0.500
Cr2 Cr 0.845 0.345 0.189
Cr3 Cr 0.345 0.155 0.500
Cr4 Cr 0.155 0.655 0.811
# **Formation energy**: -312 meV per atom
# **Theoretical density**: 6.56 g/cm3

***

No. 6
# Cr5P, relaxed, DFT PBE-GGA
data_Cr5P
_chemical_formula_sum 'Cr5 P1'
_symmetry_space_group_name_H-M 'P 1'
_symmetry_Int_Tables_number 1
_cell_length_a 4.451
_cell_length_b 4.451
_cell_length_c 4.433
_cell_angle_alpha 90.00
_cell_angle_beta 90.00
_cell_angle_gamma 120.00
loop_
_symmetry_equiv_pos_as_xyz
'x,y,z'
loop_
_atom_site_label
_atom_site_type_symbol
_atom_site_fract_x
_atom_site_fract_y
_atom_site_fract_z
Cr1 Cr 0.000 0.500 0.500
Cr2 Cr 0.333 0.667 0.000
Cr3 Cr 0.667 0.333 0.000
Cr4 Cr 0.500 0.000 0.500
Cr5 Cr 0.500 0.500 0.500
P1 P 0.000 0.000 0.000
# **Formation energy**: 491 meV per atom
# **Theoretical density**: 6.35 g/cm3

***

No. 7
# Cr2P, relaxed, DFT PBE-GGA
data_Cr2P
_chemical_formula_sum 'Cr2 P1'
_symmetry_space_group_name_H-M 'P 1'
_symmetry_Int_Tables_number 1
_cell_length_a 4.386
_cell_length_b 4.386
_cell_length_c 4.386
_cell_angle_alpha 140.47
_cell_angle_beta 140.47
_cell_angle_gamma 57.15
loop_
_symmetry_equiv_pos_as_xyz
'x,y,z'
loop_
_atom_site_label
_atom_site_type_symbol
_atom_site_fract_x
_atom_site_fract_y
_atom_site_fract_z
P1 P 0.000 0.000 0.000
Cr1 Cr 0.338 0.338 0.000
Cr2 Cr 0.662 0.662 0.000
# **Formation energy**: -200 meV per atom
# **Theoretical density**: 6.61 g/cm3

***

No. 8
# Cr2P, relaxed, DFT PBE-GGA
data_Cr2P
_chemical_formula_sum 'Cr4 P2'
_symmetry_space_group_name_H-M 'P 1'
_symmetry_Int_Tables_number 1
_cell_length_a 4.120
_cell_length_b 4.120
_cell_length_c 4.765
_cell_angle_alpha 90.00
_cell_angle_beta 90.00
_cell_angle_gamma 120.00
loop_
_symmetry_equiv_pos_as_xyz
'x,y,z'
loop_
_atom_site_label
_atom_site_type_symbol
_atom_site_fract_x
_atom_site_fract_y
_atom_site_fract_z
P1 P 0.333 0.667 0.250
P2 P 0.667 0.333 0.750
Cr1 Cr 0.000 0.000 0.500
Cr2 Cr 0.667 0.333 0.250
Cr3 Cr 0.000 0.000 0.000
Cr4 Cr 0.333 0.667 0.750
# **Formation energy**: -115 meV per atom
# **Theoretical density**: 6.40 g/cm3

***

| no. | total magnetization (μB per atom) | VASP energy (eV/atom) | V (Å³ per atom) |
| --- | --- | --- | --- |
| 1 | 0.14 | -7.7430 | 13.46 |
| 2 | 0.03 | -8.2712 | 11.53 |
| 3 | 0.00 | -8.2706 | 11.42 |
| 4 | 0.41 | -8.4757 | 11.37 |
| 5 | 0.00 | -8.5306 | 11.39 |
| 6 | 0.00 | -8.4303 | 12.68 |
| 7 | 0.00 | -8.4188 | 11.30 |
| 8 | 0.02 | -8.3341 | 11.68 |